Entry 1:
First-principles (PBE) data for crystalline NpAgBi2 at its relaxed geometry, as listed in Alexandria.

Its volume is 105 Å³ per cell. The calculated density comes out at 12.05 g cm⁻³. The formation energy comes out at 0.4 kcal/mol of atoms.

a b c (Å): 4.9401 4.9401 4.3057
angles (deg): 90.00 90.00 90.00
Closest atoms and distances in Å follow each position.
Fractional coordinates of all 4 atoms:
1 Np 0.0000 0.0000 0.0000  8 Bi 3.28, 4 Ag 3.49
2 Ag 0.5000 0.5000 0.0000  8 Bi 3.28, 4 Np 3.49
3 Bi 0.0000 0.5000 0.5000  4 Np 3.28, 4 Ag 3.28, 4 Bi 3.49
4 Bi 0.5000 0.0000 0.5000  4 Np 3.28, 4 Ag 3.28, 4 Bi 3.49

Entry 2:
First-principles (PBE) data for crystalline Ti3CuSn at its relaxed geometry, as listed in Alexandria.

Its volume is 98 Å³ per cell. As for the energy relative to the lowest polymorph listed for this composition: 0.156 eV/atom. The calculated density comes out at 5.55 g cm⁻³. The formation energy comes out at 4.3 kcal/mol of atoms.

a b c (Å): 4.7061 4.7061 5.0874
angles (deg): 90.00 90.00 120.00
Closest atoms and distances in Å follow each position.
Fractional coordinates of all 5 atoms:
1 Ti 0.0000 0.0000 0.0000  2 Cu 2.54, 3 Sn 2.72
2 Ti 0.6667 0.3333 0.2314  1 Ti 2.35
3 Ti 0.6667 0.3333 0.7686  1 Ti 2.35
4 Cu 0.0000 0.0000 0.5000  2 Ti 2.54
5 Sn 0.3333 0.6667 0.0000  9 Ti 2.72-2.96

Entry 3:
First-principles (PBE) data for crystalline SrLiTl2Sn at its relaxed geometry, as listed in Alexandria.

Its volume is 144 Å³ per cell. The calculated density comes out at 7.16 g cm⁻³. The formation energy comes out at -5.3 kcal/mol of atoms.

a b c (Å): 5.2381 5.2381 5.2543
angles (deg): 90.00 90.00 90.00
Closest atoms and distances in Å follow each position.
Fractional coordinates of all 5 atoms:
1 Sr 0.0000 0.0000 0.0000  4 Sn 3.70, 8 Tl 3.71
2 Li 0.5000 0.5000 0.5000  4 Tl 2.62, 2 Sn 2.63
3 Tl 0.0000 0.5000 0.5000  2 Li 2.62
4 Tl 0.5000 0.0000 0.5000  2 Li 2.62
5 Sn 0.5000 0.5000 0.0000  2 Li 2.63

Entry 4:
First-principles (PBE) data for crystalline TmNpZnO6 at its relaxed geometry, as listed in Alexandria.

Its volume is 241 Å³ per cell. The calculated density comes out at 7.81 g cm⁻³. As for the uncorrected formation energy: -2.452 eV/atom.

a b c (Å): 5.6187 5.6187 8.8278
angles (deg): 90.00 90.00 120.00
Closest atoms and distances in Å follow each position.
Fractional coordinates of all 18 atoms:
1 Tm 0.3333 0.6667 0.2500  6 O 2.23
2 Tm 0.6667 0.3333 0.7500  6 O 2.23
3 Np 0.3333 0.6667 0.7500  6 O 2.03
4 Np 0.6667 0.3333 0.2500  6 O 2.03
5 Zn 0.0000 0.0000 0.0000  6 O 2.24
6 Zn 0.0000 0.0000 0.5000  6 O 2.24
7 O 0.0266 0.3549 0.6307  1 Np 2.03, 1 Tm 2.23, 1 Zn 2.24
8 O 0.0266 0.6717 0.8693  1 Np 2.03, 1 Tm 2.23, 1 Zn 2.24
9 O 0.3283 0.3549 0.8693  1 Np 2.03, 1 Tm 2.23, 1 Zn 2.24
10 O 0.3283 0.9734 0.6307  1 Np 2.03, 1 Tm 2.23, 1 Zn 2.24
11 O 0.3549 0.0266 0.1307  1 Np 2.03, 1 Tm 2.23, 1 Zn 2.24
12 O 0.3549 0.3283 0.3693  1 Np 2.03, 1 Tm 2.23, 1 Zn 2.24
13 O 0.6451 0.6717 0.6307  1 Np 2.03, 1 Tm 2.23, 1 Zn 2.24
14 O 0.6451 0.9734 0.8693  1 Np 2.03, 1 Tm 2.23, 1 Zn 2.24
15 O 0.6717 0.0266 0.3693  1 Np 2.03, 1 Tm 2.23, 1 Zn 2.24
16 O 0.6717 0.6451 0.1307  1 Np 2.03, 1 Tm 2.23, 1 Zn 2.24
17 O 0.9734 0.3283 0.1307  1 Np 2.03, 1 Tm 2.23, 1 Zn 2.24
18 O 0.9734 0.6451 0.3693  1 Np 2.03, 1 Tm 2.23, 1 Zn 2.24

> Among the records above, which one has the highest volume?

TmNpZnO6